# MgSn2O5 | Alexandria via LeMat-Bulk | PBE | relaxed
data_MgSn2O5
_chemical_formula_sum 'Mg2 Sn4 O10'
_cell_length_a 5.610
_cell_length_b 5.610
_cell_length_c 10.316
_cell_angle_alpha 90.00
_cell_angle_beta 90.00
_cell_angle_gamma 138.24
_space_group_name_H-M_alt 'P 1'
_space_group_IT_number 1
loop_
_space_group_symop_operation_xyz
'x,y,z'
loop_
_atom_site_label
_atom_site_fract_x
_atom_site_fract_y
_atom_site_fract_z
_atom_site_occupancy
O1 0.949 0.051 0.384 1
O2 0.051 0.949 0.616 1
O3 0.949 0.051 0.116 1
O4 0.227 0.773 0.250 1
O5 0.304 0.696 0.934 1
O6 0.773 0.227 0.750 1
O7 0.051 0.949 0.884 1
O8 0.696 0.304 0.434 1
O9 0.304 0.696 0.566 1
O10 0.696 0.304 0.066 1
Mg1 0.812 0.188 0.250 1
Mg2 0.188 0.812 0.750 1
Sn1 0.136 0.864 0.433 1
Sn2 0.136 0.864 0.067 1
Sn3 0.864 0.136 0.933 1
Sn4 0.864 0.136 0.567 1
# - Formation energy (no corrections): -15.11 eV/f.u.
# - Distance to the lowest polymorph of the same formula: 0 meV per atom